No. 1
{
  "formula": "Fe2NiOs",
  "functional": "GGA-PBE",
  "state": "optimized geometry",
  "lattice_angstrom": [[-0.300, -1.683, 4.080], [2.192, -1.067, 3.691], [-0.568, 3.765, 2.322]],
  "species": ["Fe", "Fe", "Ni", "Os"],
  "fractional_positions": [[0.000, 0.000, 0.004], [0.750, 0.750, 0.743], [0.499, 0.499, 0.509], [0.250, 0.250, 0.244]],
  "magmom_total_mub_per_fu": 4.14,
  "formation_enthalpy_0k_kj_per_mol_atoms": 10.1,
  "space_group": "Cm (8)"
}

No. 2
{
  "formula": "Fe2NiOs",
  "functional": "GGA-PBE",
  "state": "optimized geometry",
  "lattice_angstrom": [[4.471, -0.006, 0.000], [-1.527, 4.202, 0.000], [0.000, 0.000, 2.594]],
  "species": ["Os", "Ni", "Fe", "Fe"],
  "fractional_positions": [[0.000, 0.500, 0.500], [0.500, 0.000, 0.500], [0.500, 0.500, 0.000], [0.000, 0.000, 0.000]],
  "magmom_total_mub_per_fu": 4.72,
  "formation_enthalpy_0k_kj_per_mol_atoms": 10.0,
  "space_group": "Cmmm (65)"
}

No. 3
{
  "formula": "Fe2NiOs",
  "functional": "GGA-PBE",
  "state": "optimized geometry",
  "lattice_angstrom": [[-1.993, -3.187, -1.618], [1.484, -1.867, -3.325], [1.576, -3.764, 0.299]],
  "species": ["Ni", "Fe", "Fe", "Os"],
  "fractional_positions": [[0.500, 0.500, 0.500], [0.250, 0.250, 0.250], [0.000, 0.000, 0.000], [0.750, 0.750, 0.750]],
  "magmom_total_mub_per_fu": 3.79,
  "formation_enthalpy_0k_kj_per_mol_atoms": 21.4,
  "space_group": "F-43m (216)"
}

No. 4
{
  "formula": "FeNi3Os",
  "functional": "GGA-PBE",
  "state": "optimized geometry",
  "lattice_angstrom": [[-2.797, -2.438, -1.912], [3.050, -2.621, -1.120], [-0.546, -2.147, 3.538]],
  "species": ["Ni", "Ni", "Ni", "Os", "Fe"],
  "fractional_positions": [[0.000, 0.000, 0.500], [0.500, 0.000, 0.000], [0.000, 0.500, 0.000], [0.500, 0.500, 0.500], [0.000, 0.000, 0.000]],
  "magmom_total_mub_per_fu": 6.69,
  "formation_enthalpy_0k_kj_per_mol_atoms": 140.2,
  "space_group": "Pm-3m (221)"
}

No. 5
{
  "formula": "Fe2Ni2Os",
  "functional": "GGA-PBE",
  "state": "optimized geometry",
  "lattice_angstrom": [[6.633, 0.000, 0.000], [0.000, 6.633, 0.000], [0.000, 0.000, 2.604]],
  "species": ["Ni", "Ni", "Ni", "Ni", "Fe", "Fe", "Fe", "Fe", "Os", "Os"],
  "fractional_positions": [[0.375, 0.875, 0.000], [0.625, 0.125, 0.000], [0.875, 0.625, 0.000], [0.125, 0.375, 0.000], [0.326, 0.174, 0.500], [0.674, 0.826, 0.500], [0.174, 0.674, 0.500], [0.826, 0.326, 0.500], [0.000, 0.000, 0.000], [0.500, 0.500, 0.000]],
  "magmom_total_mub_per_fu": 0.00,
  "formation_enthalpy_0k_kj_per_mol_atoms": 36.3,
  "space_group": "P4/mbm (127)"
}

No. 6
{
  "formula": "Fe2NiOs",
  "functional": "GGA-PBE",
  "state": "optimized geometry",
  "lattice_angstrom": [[2.598, 0.000, 0.000], [0.000, 3.644, 0.000], [0.000, 0.000, 5.093]],
  "species": ["Ni", "Fe", "Fe", "Os"],
  "fractional_positions": [[0.500, 0.500, 0.250], [0.000, 0.000, 0.496], [0.000, 0.000, 0.004], [0.500, 0.500, 0.750]],
  "magmom_total_mub_per_fu": 4.20,
  "formation_enthalpy_0k_kj_per_mol_atoms": 9.7,
  "space_group": "Pmmm (47)"
}

No. 7
{
  "formula": "Fe2NiOs",
  "functional": "GGA-PBE",
  "state": "optimized geometry",
  "lattice_angstrom": [[-1.067, 2.897, -3.005], [-4.139, -0.336, 1.146], [0.337, 1.993, 1.802]],
  "species": ["Fe", "Fe", "Os", "Ni"],
  "fractional_positions": [[0.500, 0.500, 0.000], [0.000, 0.000, 0.000], [0.000, 0.500, 0.500], [0.500, 0.000, 0.500]],
  "magmom_total_mub_per_fu": 6.39,
  "formation_enthalpy_0k_kj_per_mol_atoms": 19.3,
  "space_group": "P4/mmm (123)"
}

No. 8
{
  "formula": "Fe4NiOs",
  "functional": "GGA-PBE",
  "state": "optimized geometry",
  "lattice_angstrom": [[0.000, 3.280, 3.280], [3.280, 0.000, 3.280], [3.280, 3.280, 0.000]],
  "species": ["Fe", "Fe", "Fe", "Fe", "Os", "Ni"],
  "fractional_positions": [[0.375, 0.375, 0.375], [0.375, 0.874, 0.375], [0.874, 0.375, 0.375], [0.375, 0.375, 0.874], [0.000, 0.000, 0.000], [0.750, 0.750, 0.750]],
  "magmom_total_mub_per_fu": 7.81,
  "formation_enthalpy_0k_kj_per_mol_atoms": 18.7,
  "space_group": "F-43m (216)"
}

No. 9
{
  "formula": "FeNiOsPd2",
  "functional": "GGA-PBE",
  "state": "optimized geometry",
  "lattice_angstrom": [[-3.508, -3.119, 1.059], [2.745, -2.185, 2.657], [-1.357, 2.778, 3.687]],
  "species": ["Os", "Ni", "Pd", "Pd", "Fe"],
  "fractional_positions": [[0.000, 0.000, 0.000], [0.500, 0.500, 0.500], [0.500, 0.000, 0.000], [0.000, 0.000, 0.500], [0.000, 0.500, 0.000]],
  "magmom_total_mub_per_fu": 2.55,
  "formation_enthalpy_0k_kj_per_mol_atoms": 155.7,
  "space_group": "P4/mmm (123)"
}

No. 10
{
  "formula": "FeNi2OsRu",
  "functional": "GGA-PBE",
  "state": "optimized geometry",
  "lattice_angstrom": [[4.181, 0.000, 0.000], [0.000, 4.249, 0.000], [0.000, 0.000, 4.181]],
  "species": ["Fe", "Ni", "Ni", "Ru", "Os"],
  "fractional_positions": [[0.000, 0.000, 0.000], [0.000, 0.000, 0.500], [0.500, 0.000, 0.000], [0.000, 0.500, 0.000], [0.500, 0.500, 0.500]],
  "magmom_total_mub_per_fu": 4.17,
  "formation_enthalpy_0k_kj_per_mol_atoms": 148.8,
  "space_group": "P4/mmm (123)"
}

No. 11
{
  "formula": "TaFeNiOs2",
  "functional": "GGA-PBE",
  "state": "optimized geometry",
  "lattice_angstrom": [[4.381, 0.000, 0.000], [0.000, 4.381, 0.000], [0.000, 0.000, 4.187]],
  "species": ["Fe", "Ta", "Os", "Os", "Ni"],
  "fractional_positions": [[0.000, 0.000, 0.000], [0.500, 0.500, 0.500], [0.000, 0.500, 0.000], [0.500, 0.000, 0.000], [0.000, 0.000, 0.500]],
  "magmom_total_mub_per_fu": 1.16,
  "formation_enthalpy_0k_kj_per_mol_atoms": 120.0,
  "space_group": "P4/mmm (123)"
}

No. 12
{
  "formula": "TaFeNiOs",
  "functional": "GGA-PBE",
  "state": "optimized geometry",
  "lattice_angstrom": [[4.310, 0.000, 0.000], [2.155, 3.733, 0.000], [2.155, 1.244, 3.519]],
  "species": ["Ni", "Os", "Ta", "Fe"],
  "fractional_positions": [[0.000, 0.000, 0.000], [0.500, 0.500, 0.500], [0.750, 0.750, 0.750], [0.250, 0.250, 0.250]],
  "magmom_total_mub_per_fu": 3.08,
  "formation_enthalpy_0k_kj_per_mol_atoms": -4.6,
  "space_group": "F-43m (216)"
}

No. 13
{
  "formula": "TlFeNi2Os",
  "functional": "GGA-PBE",
  "state": "optimized geometry",
  "lattice_angstrom": [[4.520, 0.000, 0.000], [0.000, 5.188, 0.000], [0.000, 0.000, 4.520]],
  "species": ["Os", "Ni", "Ni", "Fe", "Tl"],
  "fractional_positions": [[0.000, 0.000, 0.000], [0.500, 0.000, 0.000], [0.000, 0.000, 0.500], [0.500, 0.500, 0.500], [0.000, 0.500, 0.000]],
  "magmom_total_mub_per_fu": 3.55,
  "formation_enthalpy_0k_kj_per_mol_atoms": 150.3,
  "space_group": "P4/mmm (123)"
}

No. 14
{
  "formula": "Fe2NiP",
  "functional": "GGA-PBE",
  "state": "optimized geometry",
  "lattice_angstrom": [[3.563, 0.000, 0.000], [0.000, 2.688, 0.001], [0.000, 1.341, 4.727]],
  "species": ["Fe", "Fe", "Ni", "P"],
  "fractional_positions": [[0.500, 0.308, 0.259], [0.000, 0.953, 0.968], [0.000, 0.687, 0.501], [0.500, 0.552, 0.772]],
  "magmom_total_mub_per_fu": 4.54,
  "formation_enthalpy_0k_kj_per_mol_atoms": -17.5,
  "space_group": "Amm2 (38)"
}

No. 15
{
  "formula": "FeNiP2",
  "functional": "GGA-PBE",
  "state": "optimized geometry",
  "lattice_angstrom": [[4.103, 0.000, 0.000], [2.051, 3.553, 0.000], [2.051, 1.184, 3.350]],
  "species": ["Ni", "Fe", "P", "P"],
  "fractional_positions": [[0.250, 0.250, 0.250], [0.500, 0.500, 0.500], [0.000, 0.000, 0.000], [0.750, 0.750, 0.750]],
  "magmom_total_mub_per_fu": 2.14,
  "formation_enthalpy_0k_kj_per_mol_atoms": 33.0,
  "space_group": "F-43m (216)"
}